LiY2Cl after structural relaxation. Source: the Alexandria database, functional GGA-PBE.

Structure (POSCAR):
```
LiY2Cl
1.0
3.410 0.000 0.000
0.000 3.410 0.000
0.000 0.000 9.068
Y Li Cl
2 1 1
Direct
0.000 0.000 0.001 Y
0.500 0.500 0.286 Y
0.500 0.500 0.705 Li
0.000 0.000 0.508 Cl
```

For the formation energy (no corrections), the calculation gives -561 meV per atom. As for the energy above the most stable polymorph in this dataset: 0.313 eV per formula unit. The value obtained for the total DFT energy (no corrections) is -4.733 eV per atom. The symmetry is P4mm.


AlGeN after structural relaxation. Source: the Alexandria database, functional GGA-PBE.

Structure (POSCAR):
```
AlGeN
1.0
-2.651 1.925 -0.931
-2.002 0.386 -6.045
-5.525 -3.464 -3.968
N Ge Al
2 2 2
Direct
0.950 0.903 0.398 N
0.050 0.097 0.602 N
0.725 0.175 0.850 Ge
0.275 0.825 0.150 Ge
0.417 0.763 0.571 Al
0.583 0.237 0.429 Al
```

For the formation energy (no corrections), the calculation gives -352 meV per atom. The value obtained for the total DFT energy (no corrections) is -5.914 eV per atom. The symmetry is P-1.


Se4Cl after structural relaxation. Source: the Alexandria database, functional GGA-PBE.

Structure (POSCAR):
```
Se4Cl
1.0
-4.157 4.157 2.343
4.157 -4.157 2.343
4.157 4.157 -2.343
Se Cl
4 1
Direct
0.357 0.000 0.357 Se
0.000 0.357 0.356 Se
0.000 0.643 0.644 Se
0.643 0.000 0.643 Se
0.000 0.000 0.000 Cl
```

For the formation energy (no corrections), the calculation gives 240 meV per atom. As for the energy above the most stable polymorph in this dataset: 0.000 eV per formula unit. The value obtained for the total DFT energy (no corrections) is -2.917 eV per atom. The symmetry is I4/mmm.


La2TlCu after structural relaxation. Source: the Alexandria database, functional GGA-PBE.

Structure (POSCAR):
```
La2TlCu
1.0
3.885 0.000 0.000
0.000 3.883 0.000
0.000 0.000 7.586
Tl La Cu
1 2 1
Direct
0.000 0.000 0.530 Tl
0.000 0.000 0.950 La
0.500 0.500 0.270 La
0.500 0.500 0.750 Cu
```

The calculation puts the formation energy at -0.04 eV per atom. The value obtained for the total DFT energy (no corrections) is -4.117 eV per atom. The symmetry is P4mm.


Pr4Nd5Zn after structural relaxation. Source: the Alexandria database, functional GGA-PBE.

Structure (POSCAR):
```
Pr4Nd5Zn
1.0
3.704 0.000 0.000
0.000 3.704 0.000
0.000 0.000 24.538
Pr Nd Zn
4 5 1
Direct
0.000 0.000 0.819 Pr
0.000 0.000 0.181 Pr
0.000 0.000 0.606 Pr
0.000 0.000 0.394 Pr
0.500 0.500 0.926 Nd
0.500 0.500 0.500 Nd
0.500 0.500 0.713 Nd
0.500 0.500 0.074 Nd
0.500 0.500 0.287 Nd
0.000 0.000 0.000 Zn
```

The calculation puts the formation energy at -0.06 eV per atom. The value obtained for the total DFT energy (no corrections) is -4.478 eV per atom. The symmetry is P4/mmm.


CeZn2Ni4Ge after structural relaxation. Source: the Alexandria database, functional GGA-PBE.

Structure (POSCAR):
```
CeZn2Ni4Ge
1.0
4.075 0.000 0.000
2.038 3.529 0.000
2.038 1.176 8.229
Zn Ni Ce Ge
2 4 1 1
Direct
0.242 0.242 0.275 Zn
0.758 0.758 0.725 Zn
0.866 0.866 0.402 Ni
0.403 0.403 0.790 Ni
0.134 0.134 0.598 Ni
0.597 0.597 0.210 Ni
0.000 0.000 0.000 Ce
0.500 0.500 0.500 Ge
```

The calculation puts the formation energy at -0.27 eV per atom. The value obtained for the total DFT energy (no corrections) is -4.801 eV per atom. The symmetry is R-3m.


GdThPd after structural relaxation. Source: the Alexandria database, functional GGA-PBE.

Structure (POSCAR):
```
GdThPd
1.0
4.982 0.000 0.000
2.491 4.314 0.000
2.491 1.438 4.068
Pd Th Gd
1 1 1
Direct
0.250 0.250 0.250 Pd
0.500 0.500 0.500 Th
0.000 0.000 0.000 Gd
```

The calculation puts the formation energy at -0.27 eV per atom. As for the energy above the most stable polymorph in this dataset: 0.556 eV per formula unit. The value obtained for the total DFT energy (no corrections) is -9.169 eV per atom. The symmetry is F-43m.


KYAg2Rh after structural relaxation. Source: the Alexandria database, functional GGA-PBE.

Structure (POSCAR):
```
KYAg2Rh
1.0
-2.674 -3.922 -2.342
3.279 0.766 -5.027
3.555 -3.491 1.787
Y Ag Rh K
1 2 1 1
Direct
0.000 0.000 0.000 Y
0.500 0.000 0.000 Ag
0.000 0.000 0.500 Ag
0.500 0.500 0.500 Rh
0.000 0.500 0.000 K
```

The calculation puts the formation energy at 1.52 eV per atom. The value obtained for the total DFT energy (no corrections) is -2.601 eV per atom. The symmetry is P4/mmm.


AlTc2Se after structural relaxation. Source: the Alexandria database, functional GGA-PBE.

Structure (POSCAR):
```
AlTc2Se
1.0
-1.911 -6.913 1.258
1.359 -1.643 -6.963
2.180 -4.846 -2.239
Se Al Tc
2 2 4
Direct
0.750 0.250 0.500 Se
0.000 0.000 0.000 Se
0.500 0.500 0.000 Al
0.250 0.750 0.500 Al
0.375 0.307 0.750 Tc
0.875 0.943 0.750 Tc
0.057 0.625 0.250 Tc
0.693 0.125 0.250 Tc
```

For the formation energy (no corrections), the calculation gives 529 meV per atom. As for the energy above the most stable polymorph in this dataset: 2.447 eV per formula unit. The value obtained for the total DFT energy (no corrections) is -6.461 eV per atom. The symmetry is I-42d.


SrY2B2 after structural relaxation. Source: the Alexandria database, functional GGA-PBE.

Structure (POSCAR):
```
SrY2B2
1.0
4.708 0.000 0.000
0.000 4.708 0.000
2.354 2.354 5.623
Y B Sr
2 2 1
Direct
0.669 0.669 0.661 Y
0.331 0.331 0.339 Y
0.250 0.750 0.500 B
0.750 0.250 0.500 B
0.000 0.000 0.000 Sr
```

The calculation puts the formation energy at 0.31 eV per atom. As for the energy above the most stable polymorph in this dataset: 0.000 eV per formula unit. The value obtained for the total DFT energy (no corrections) is -5.282 eV per atom. The symmetry is I4/mmm.


LaSn2Pb2 after structural relaxation. Source: the Alexandria database, functional GGA-PBE.

Structure (POSCAR):
```
LaSn2Pb2
1.0
-1.585 -4.253 -0.978
3.612 -0.668 -2.951
8.256 -3.023 10.788
Sn La Pb
4 2 4
Direct
0.251 0.750 0.502 Sn
0.857 0.750 0.714 Sn
0.749 0.250 0.498 Sn
0.143 0.250 0.286 Sn
0.342 0.250 0.684 La
0.658 0.750 0.316 La
0.556 0.250 0.111 Pb
0.052 0.750 0.105 Pb
0.444 0.750 0.889 Pb
0.948 0.250 0.895 Pb
```

The calculation puts the formation energy at -0.37 eV per atom. As for the energy above the most stable polymorph in this dataset: 0.000 eV per formula unit. The value obtained for the total DFT energy (no corrections) is -4.442 eV per atom. The symmetry is Cmcm.


ReIr2Pt after structural relaxation. Source: the Alexandria database, functional GGA-PBE.

Structure (POSCAR):
```
ReIr2Pt
1.0
-1.570 1.358 3.331
-3.409 -1.721 -0.905
1.126 -3.194 1.833
Ir Re Pt
2 1 1
Direct
0.000 0.000 0.000 Ir
0.500 0.500 0.000 Ir
0.000 0.500 0.500 Re
0.500 0.000 0.500 Pt
```

The calculation puts the formation energy at 0.03 eV per atom. As for the energy above the most stable polymorph in this dataset: 0.738 eV per formula unit. The value obtained for the total DFT energy (no corrections) is -9.018 eV per atom. The symmetry is P4/mmm.


Density? In order: 3.468; 3.769; 3.603; 7.919; 6.659; 8.113; 9.415; 4.375; 7.288; 3.824; 8.747; 21.439 g/cm³.